# PBE-GGA BiOs2Ru, relaxed
data_BiOs2Ru
_space_group_name_H-M_alt 'I -4 2 d'
_space_group_IT_number 122
_space_group_name_Hall 'I -4 2bw'
_cell_length_a 5.867
_cell_length_b 5.867
_cell_length_c 11.466
_cell_angle_alpha 90.00
_cell_angle_beta 90.00
_cell_angle_gamma 90.00
loop_
_atom_site_label
_atom_site_fract_x
_atom_site_fract_y
_atom_site_fract_z
Bi1 0.000 0.000 0.000
Os1 0.203 0.250 0.625
Ru1 0.000 0.000 0.500
# DFT formation energy: 1.354 eV per atom

***

# PBE-GGA AlMoOs, relaxed
data_AlMoOs
_space_group_name_H-M_alt 'I 4 m m'
_space_group_IT_number 107
_space_group_name_Hall 'I 4 -2'
_cell_length_a 2.982
_cell_length_b 2.982
_cell_length_c 9.836
_cell_angle_alpha 90.00
_cell_angle_beta 90.00
_cell_angle_gamma 90.00
loop_
_atom_site_label
_atom_site_fract_x
_atom_site_fract_y
_atom_site_fract_z
Al1 0.000 0.000 0.000
Mo1 0.000 0.000 0.324
Os1 0.000 0.000 0.658
# distance to the lowest polymorph of the same formula: 0 meV per atom
# DFT formation energy: -0.306 eV per atom

***

# PBE-GGA ThTiPt2, relaxed
data_ThTiPt2
_space_group_name_H-M_alt 'P 4/m m m'
_space_group_IT_number 123
_space_group_name_Hall '-P 4 2'
_cell_length_a 3.280
_cell_length_b 3.280
_cell_length_c 7.250
_cell_angle_alpha 90.00
_cell_angle_beta 90.00
_cell_angle_gamma 90.00
loop_
_atom_site_label
_atom_site_fract_x
_atom_site_fract_y
_atom_site_fract_z
Th1 0.000 0.000 0.000
Ti1 0.000 0.000 0.500
Pt1 0.500 0.500 0.302
# distance to the lowest polymorph of the same formula: 134 meV per atom
# DFT formation energy: -0.900 eV per atom

***

# PBE-GGA Sm5In2Ru, relaxed
data_Sm5In2Ru
_space_group_name_H-M_alt 'P b a m'
_space_group_IT_number 55
_space_group_name_Hall '-P 2 2ab'
_cell_length_a 7.843
_cell_length_b 12.354
_cell_length_c 4.788
_cell_angle_alpha 90.00
_cell_angle_beta 90.00
_cell_angle_gamma 90.00
loop_
_atom_site_label
_atom_site_fract_x
_atom_site_fract_y
_atom_site_fract_z
Sm1 0.000 0.000 0.000
Sm2 0.137 0.297 0.000
Sm3 0.184 0.572 0.500
In1 0.077 0.832 0.500
Ru1 0.000 0.500 0.000
# DFT formation energy: -0.357 eV per atom

***

# PBE-GGA Sm3EuOs, relaxed
data_Sm3EuOs
_space_group_name_H-M_alt 'P m -3 m'
_space_group_IT_number 221
_space_group_name_Hall '-P 4 2 3'
_cell_length_a 5.596
_cell_length_b 5.596
_cell_length_c 5.596
_cell_angle_alpha 90.00
_cell_angle_beta 90.00
_cell_angle_gamma 90.00
loop_
_atom_site_label
_atom_site_fract_x
_atom_site_fract_y
_atom_site_fract_z
Sm1 0.000 0.000 0.500
Eu1 0.500 0.500 0.500
Os1 0.000 0.000 0.000
# DFT formation energy: -0.010 eV per atom

***

# PBE-GGA RbNa4Hg2, relaxed
data_RbNa4Hg2
_space_group_name_H-M_alt 'C m m m'
_space_group_IT_number 65
_space_group_name_Hall '-C 2 2'
_cell_length_a 5.407
_cell_length_b 17.279
_cell_length_c 5.457
_cell_angle_alpha 90.00
_cell_angle_beta 90.00
_cell_angle_gamma 90.00
loop_
_atom_site_label
_atom_site_fract_x
_atom_site_fract_y
_atom_site_fract_z
Rb1 0.000 0.000 0.000
Na1 0.000 0.185 0.500
Na2 0.000 0.320 0.000
Hg1 0.000 0.413 0.500
# distance to the lowest polymorph of the same formula: 25 meV per atom
# DFT formation energy: -0.128 eV per atom

***

# PBE-GGA Ba12Cu3O5, relaxed
data_Ba12Cu3O5
_space_group_name_H-M_alt 'I a -3 d'
_space_group_IT_number 230
_space_group_name_Hall '-I 4bd 2c 3'
_cell_length_a 17.677
_cell_length_b 17.677
_cell_length_c 17.677
_cell_angle_alpha 90.00
_cell_angle_beta 90.00
_cell_angle_gamma 90.00
loop_
_atom_site_label
_atom_site_fract_x
_atom_site_fract_y
_atom_site_fract_z
Ba1 0.032 0.049 0.650
Cu1 0.000 0.250 0.125
O1 0.000 0.000 0.000
O2 0.000 0.250 0.375
# formation energy (no corrections): -1.132 eV per atom

***

# PBE-GGA Ba2CaAl2As4, relaxed
data_Ba2CaAl2As4
_space_group_name_H-M_alt 'C 1 2/m 1'
_space_group_IT_number 12
_space_group_name_Hall '-C 2y'
_cell_length_a 16.108
_cell_length_b 4.183
_cell_length_c 7.833
_cell_angle_alpha 90.00
_cell_angle_beta 109.47
_cell_angle_gamma 90.00
loop_
_atom_site_label
_atom_site_fract_x
_atom_site_fract_y
_atom_site_fract_z
Ba1 0.125 0.000 0.048
Ca1 0.000 0.000 0.500
Al1 0.170 0.500 0.476
As1 0.025 0.500 0.249
As2 0.210 0.000 0.680
# DFT formation energy: -0.955 eV per atom

***

# PBE-GGA Mg2WN, relaxed
data_Mg2WN
_space_group_name_H-M_alt 'I -4 2 d'
_space_group_IT_number 122
_space_group_name_Hall 'I -4 2bw'
_cell_length_a 8.040
_cell_length_b 8.040
_cell_length_c 4.028
_cell_angle_alpha 90.00
_cell_angle_beta 90.00
_cell_angle_gamma 90.00
loop_
_atom_site_label
_atom_site_fract_x
_atom_site_fract_y
_atom_site_fract_z
Mg1 0.125 0.250 0.125
W1 0.000 0.000 0.500
N1 0.000 0.000 0.000
# formation energy (no corrections): 0.374 eV per atom

***

# PBE-GGA Mo2RuW, relaxed
data_Mo2RuW
_space_group_name_H-M_alt 'I -4 m 2'
_space_group_IT_number 119
_space_group_name_Hall 'I -4 -2'
_cell_length_a 3.948
_cell_length_b 3.948
_cell_length_c 7.984
_cell_angle_alpha 90.00
_cell_angle_beta 90.00
_cell_angle_gamma 90.00
loop_
_atom_site_label
_atom_site_fract_x
_atom_site_fract_y
_atom_site_fract_z
Mo1 0.000 0.000 0.000
Mo2 0.000 0.500 0.250
Ru1 0.000 0.500 0.750
W1 0.000 0.000 0.500
# distance to the lowest polymorph of the same formula: 121 meV per atom
# DFT formation energy: 0.231 eV per atom

***

# PBE-GGA MgBe2Ru, relaxed
data_MgBe2Ru
_space_group_name_H-M_alt 'P 4/m m m'
_space_group_IT_number 123
_space_group_name_Hall '-P 4 2'
_cell_length_a 2.981
_cell_length_b 2.981
_cell_length_c 5.599
_cell_angle_alpha 90.00
_cell_angle_beta 90.00
_cell_angle_gamma 90.00
loop_
_atom_site_label
_atom_site_fract_x
_atom_site_fract_y
_atom_site_fract_z
Mg1 0.000 0.000 0.000
Be1 0.500 0.500 0.311
Ru1 0.000 0.000 0.500
# DFT formation energy: -0.165 eV per atom

***

# PBE-GGA Rb2Na2Cl2O, relaxed
data_Rb2Na2Cl2O
_space_group_name_H-M_alt 'I 4/m m m'
_space_group_IT_number 139
_space_group_name_Hall '-I 4 2'
_cell_length_a 4.657
_cell_length_b 4.657
_cell_length_c 17.149
_cell_angle_alpha 90.00
_cell_angle_beta 90.00
_cell_angle_gamma 90.00
loop_
_atom_site_label
_atom_site_fract_x
_atom_site_fract_y
_atom_site_fract_z
Rb1 0.000 0.000 0.159
Na1 0.000 0.500 0.000
Cl1 0.000 0.000 0.365
O1 0.000 0.000 0.000
# formation energy (no corrections): -1.567 eV per atom

***

# PBE-GGA Ce2PmOs9, relaxed
data_Ce2PmOs9
_space_group_name_H-M_alt 'C 1 2/m 1'
_space_group_IT_number 12
_space_group_name_Hall '-C 2y'
_cell_length_a 9.152
_cell_length_b 5.456
_cell_length_c 9.299
_cell_angle_alpha 90.00
_cell_angle_beta 109.67
_cell_angle_gamma 90.00
loop_
_atom_site_label
_atom_site_fract_x
_atom_site_fract_y
_atom_site_fract_z
Ce1 0.137 0.000 0.422
Pm1 0.000 0.000 0.000
Os1 0.000 0.500 0.500
Os2 0.097 0.500 0.262
Os3 0.137 0.500 0.995
Os4 0.171 0.254 0.763
# DFT formation energy: -0.052 eV per atom

***

# PBE-GGA CsNbHg, relaxed
data_CsNbHg
_space_group_name_H-M_alt 'P n m a'
_space_group_IT_number 62
_space_group_name_Hall '-P 2ac 2n'
_cell_length_a 14.005
_cell_length_b 5.386
_cell_length_c 5.374
_cell_angle_alpha 90.00
_cell_angle_beta 90.00
_cell_angle_gamma 90.00
loop_
_atom_site_label
_atom_site_fract_x
_atom_site_fract_y
_atom_site_fract_z
Cs1 0.250 0.250 0.247
Nb1 0.000 0.250 0.502
Hg1 0.000 0.000 0.000
# distance to the lowest polymorph of the same formula: 106 meV per atom
# DFT formation energy: 0.635 eV per atom

***

# PBE-GGA PmDy2TmSc, relaxed
data_PmDy2TmSc
_space_group_name_H-M_alt 'C m c m'
_space_group_IT_number 63
_space_group_name_Hall '-C 2c 2'
_cell_length_a 6.320
_cell_length_b 15.915
_cell_length_c 6.321
_cell_angle_alpha 90.00
_cell_angle_beta 90.00
_cell_angle_gamma 90.00
loop_
_atom_site_label
_atom_site_fract_x
_atom_site_fract_y
_atom_site_fract_z
Pm1 0.000 0.162 0.250
Dy1 0.248 0.500 0.000
Tm1 0.000 0.250 0.750
Sc1 0.000 0.346 0.250
# DFT formation energy: 0.376 eV per atom

***

# PBE-GGA Hg2TeBr, relaxed
data_Hg2TeBr
_space_group_name_H-M_alt 'C m m m'
_space_group_IT_number 65
_space_group_name_Hall '-C 2 2'
_cell_length_a 4.263
_cell_length_b 8.524
_cell_length_c 8.197
_cell_angle_alpha 90.00
_cell_angle_beta 90.00
_cell_angle_gamma 90.00
loop_
_atom_site_label
_atom_site_fract_x
_atom_site_fract_y
_atom_site_fract_z
Hg1 0.000 0.000 0.238
Te1 0.000 0.500 0.000
Br1 0.000 0.500 0.500
# distance to the lowest polymorph of the same formula: 191 meV per atom
# formation energy (no corrections): -0.065 eV per atom

***

# PBE-GGA Nb2AlHgAu, relaxed
data_Nb2AlHgAu
_space_group_name_H-M_alt 'P 4/m m m'
_space_group_IT_number 123
_space_group_name_Hall '-P 4 2'
_cell_length_a 4.786
_cell_length_b 4.786
_cell_length_c 4.706
_cell_angle_alpha 90.00
_cell_angle_beta 90.00
_cell_angle_gamma 90.00
loop_
_atom_site_label
_atom_site_fract_x
_atom_site_fract_y
_atom_site_fract_z
Nb1 0.000 0.500 0.000
Al1 0.000 0.000 0.000
Hg1 0.000 0.000 0.500
Au1 0.500 0.500 0.500
# DFT formation energy: 1.056 eV per atom

***

# PBE-GGA Li2ZrCdO, relaxed
data_Li2ZrCdO
_space_group_name_H-M_alt 'P 4/m m m'
_space_group_IT_number 123
_space_group_name_Hall '-P 4 2'
_cell_length_a 4.360
_cell_length_b 4.360
_cell_length_c 4.227
_cell_angle_alpha 90.00
_cell_angle_beta 90.00
_cell_angle_gamma 90.00
loop_
_atom_site_label
_atom_site_fract_x
_atom_site_fract_y
_atom_site_fract_z
Li1 0.000 0.500 0.000
Zr1 0.000 0.000 0.500
Cd1 0.500 0.500 0.500
O1 0.000 0.000 0.000
# formation energy (no corrections): -1.014 eV per atom

***

# PBE-GGA Rb2CeEr2Se6, relaxed
data_Rb2CeEr2Se6
_space_group_name_H-M_alt 'C 1 2/m 1'
_space_group_IT_number 12
_space_group_name_Hall '-C 2y'
_cell_length_a 7.217
_cell_length_b 12.520
_cell_length_c 8.541
_cell_angle_alpha 90.00
_cell_angle_beta 106.44
_cell_angle_gamma 90.00
loop_
_atom_site_label
_atom_site_fract_x
_atom_site_fract_y
_atom_site_fract_z
Rb1 0.000 0.167 0.000
Ce1 0.000 0.000 0.500
Er1 0.000 0.333 0.500
Se1 0.229 0.500 0.690
Se2 0.231 0.167 0.691
# formation energy (no corrections): -1.718 eV per atom

***

# PBE-GGA Na2CePt9, relaxed
data_Na2CePt9
_space_group_name_H-M_alt 'R -3 m'
_space_group_IT_number 166
_space_group_name_Hall '-R 3 2"'
_cell_length_a 5.3732
_cell_length_b 5.3732
_cell_length_c 26.5888
_cell_angle_alpha 90.00
_cell_angle_beta 90.00
_cell_angle_gamma 120.00
loop_
_atom_site_label
_atom_site_fract_x
_atom_site_fract_y
_atom_site_fract_z
Na1 0.0000 0.0000 0.1453
Ce1 0.0000 0.0000 0.0000
Pt1 0.0000 0.0000 0.3329
Pt2 0.0000 0.0000 0.5000
Pt3 0.0022 0.5011 0.9157
# DFT formation energy: -0.520 eV per atom

***

no.,DFT total energy (hartree per atom)
1,-0.277
2,-0.327
3,-0.285
4,-0.189
5,-0.262
6,-0.041
7,-0.152
8,-0.165
9,-0.211
10,-0.395
11,-0.174
12,-0.127
13,-0.362
14,-0.114
15,-0.168
16,-0.052
17,-0.163
18,-0.171
19,-0.190
20,-0.212